[1]
A relaxed structure of SrDyAuSe3, computed with GGA-PBE.

Cell and atoms, written as extended XYZ:
```
12
Lattice="8.035 0.000 0.000 0.000 4.108 0.000 -2.703 0.000 9.496" Properties=species:S:1:pos:R:3 pbc="T T T"
Se -0.394 1.027 3.293
Se 2.302 3.081 0.353
Se 5.727 3.081 6.203
Se 3.643 1.027 3.441
Se 1.690 3.081 6.055
Se 3.031 1.027 9.143
Sr 5.574 3.081 2.074
Sr -0.241 1.027 7.422
Au 0.636 1.027 0.876
Au 4.696 3.081 8.620
Dy 3.700 1.027 6.324
Dy 1.632 3.081 3.172
```

Computed properties:
Raw total energy (Ry/atom): -0.3536
Magnetic moment (μB/atom): 0.000

[2]
A relaxed structure of SrDyAuSe3, computed with GGA-PBE.

Cell and atoms, written as extended XYZ:
```
12
Lattice="9.184 -2.044 0.000 9.184 2.044 0.000 -1.651 0.000 8.300" Properties=species:S:1:pos:R:3 pbc="T T T"
Au 7.052 0.000 6.514
Au 9.664 0.000 1.786
Dy 2.861 0.000 0.775
Dy 13.855 0.000 7.525
Sr 1.382 0.000 4.809
Sr 15.335 0.000 3.491
Se 4.655 0.000 5.475
Se 12.062 0.000 2.826
Se 10.969 0.000 7.161
Se 0.000 0.000 0.000
Se 5.748 0.000 1.139
Se 8.358 0.000 4.150
```

Computed properties:
Raw total energy (Ry/atom): -0.3509
Magnetic moment (μB/atom): 0.000

[3]
A relaxed structure of DySiAu, computed with GGA-PBE.

Cell and atoms, written as extended XYZ:
```
3
Lattice="2.183 1.260 6.434 -2.183 1.260 6.434 0.000 -2.521 6.434" Properties=species:S:1:pos:R:3 pbc="T T T"
Dy 0.000 0.000 12.304
Si 0.000 0.000 17.517
Au 0.000 0.000 15.156
```

Computed properties:
Raw total energy (Ry/atom): -0.2867
Magnetic moment (μB/atom): 0.124

[4]
A relaxed structure of SmDy2Si4Au4, computed with GGA-PBE.

Cell and atoms, written as extended XYZ:
```
11
Lattice="-2.079 2.119 12.568 2.079 -2.119 12.568 2.079 2.119 -12.568" Properties=species:S:1:pos:R:3 pbc="T T T"
Si 0.000 0.000 13.751
Si 0.000 0.000 11.384
Si 2.079 0.000 4.782
Si 0.000 2.119 7.786
Au 0.000 0.000 18.796
Au 0.000 2.119 10.187
Au 2.079 0.000 2.381
Au 0.000 0.000 6.339
Dy 2.079 0.000 8.856
Dy 0.000 2.119 3.712
Sm 0.000 0.000 0.000
```

Computed properties:
Raw total energy (Ry/atom): -0.3780
Magnetic moment (μB/atom): 0.000